1.
The following is a PBE-GGA calculation of Pr3GdDy2Te2Ir after structural relaxation, from OQMD.

The structure in CIF format:
```
data_Pr3GdDy2Te2Ir
_chemical_formula_sum 'Pr6 Gd2 Dy4 Te4 Ir2'
_cell_length_a 4.0830
_cell_length_b 14.7890
_cell_length_c 8.5428
_cell_angle_alpha 90.00
_cell_angle_beta 90.00
_cell_angle_gamma 90.00
_space_group_name_H-M_alt 'A m m 2'
_space_group_IT_number 38
loop_
_space_group_symop_operation_xyz
'x,y,z'
'-x,-y,z'
'-x,y,z'
'x,-y,z'
'x,y+1/2,z+1/2'
'-x,-y+1/2,z+1/2'
'-x,y+1/2,z+1/2'
'x,-y+1/2,z+1/2'
loop_
_atom_site_label
_atom_site_fract_x
_atom_site_fract_y
_atom_site_fract_z
_atom_site_occupancy
Pr1 0.0000 0.0000 0.0000 1
Pr2 0.0000 0.2021 0.6054 1
Gd1 0.5000 0.0000 0.6403 1
Dy1 0.5000 0.1178 0.2854 1
Te1 0.5000 0.1670 0.9037 1
Ir1 0.0000 0.0000 0.4010 1
```

## Properties
Uncorrected energy in eV per atom: -5.708
Crystal system: orthorhombic
Total moment in μB per formula unit: 0.0


2.
The following is a PBE-GGA calculation of GdDySi2Ir after structural relaxation, from OQMD.

The structure in CIF format:
```
data_GdDySi2Ir
_chemical_formula_sum 'Gd4 Dy4 Si8 Ir4'
_cell_length_a 10.4609
_cell_length_b 4.2594
_cell_length_c 10.1779
_cell_angle_alpha 90.00
_cell_angle_beta 117.52
_cell_angle_gamma 90.00
_space_group_name_H-M_alt 'C 1 2/m 1'
_space_group_IT_number 12
loop_
_space_group_symop_operation_xyz
'x,y,z'
'-x,-y,-z'
'-x,y,-z'
'x,-y,z'
'x+1/2,y+1/2,z'
'-x+1/2,-y+1/2,-z'
'-x+1/2,y+1/2,-z'
'x+1/2,-y+1/2,z'
loop_
_atom_site_label
_atom_site_fract_x
_atom_site_fract_y
_atom_site_fract_z
_atom_site_occupancy
Gd1 0.1913 0.0000 0.1137 1
Dy1 0.0057 0.0000 0.3278 1
Si1 0.0106 0.5000 0.8832 1
Si2 0.1466 0.5000 0.5545 1
Ir1 0.2299 0.5000 0.3450 1
```

## Properties
Uncorrected energy in eV per atom: -6.745
Crystal system: monoclinic
Total moment in μB per formula unit: 0.0


3.
The following is a PBE-GGA calculation of GdDySn2Ir4 after structural relaxation, from OQMD.

The structure in CIF format:
```
data_GdDySn2Ir4
_chemical_formula_sum 'Gd1 Dy1 Sn2 Ir4'
_cell_length_a 4.5120
_cell_length_b 4.5120
_cell_length_c 9.0591
_cell_angle_alpha 90.00
_cell_angle_beta 90.00
_cell_angle_gamma 120.00
_space_group_name_H-M_alt 'P -6 m 2'
_space_group_IT_number 187
_space_group_name_Hall 'P -6 2'
loop_
_atom_site_label
_atom_site_fract_x
_atom_site_fract_y
_atom_site_fract_z
_atom_site_occupancy
Gd1 0.0000 0.0000 0.0000 1
Dy1 0.3333 0.6667 0.5000 1
Sn1 0.6667 0.3333 0.2510 1
Ir1 0.0000 0.0000 0.3500 1
Ir2 0.3333 0.6667 0.1525 1
```

## Properties
Uncorrected energy in eV per atom: -7.137
Crystal system: hexagonal
Total moment in μB per formula unit: 0.0


4.
The following is a PBE-GGA calculation of GdDy2YIr4 after structural relaxation, from OQMD.

The structure in CIF format:
```
data_GdDy2YIr4
_chemical_formula_sum 'Gd1 Dy2 Y1 Ir4'
_cell_length_a 4.8517
_cell_length_b 4.8517
_cell_length_c 6.8612
_cell_angle_alpha 90.00
_cell_angle_beta 90.00
_cell_angle_gamma 90.00
_space_group_name_H-M_alt 'P 4/m m m'
_space_group_IT_number 123
_space_group_name_Hall '-P 4 2'
loop_
_atom_site_label
_atom_site_fract_x
_atom_site_fract_y
_atom_site_fract_z
_atom_site_occupancy
Gd1 0.0000 0.0000 0.0000 1
Dy1 0.0000 0.0000 0.5000 1
Dy2 0.5000 0.5000 0.0000 1
Y1 0.5000 0.5000 0.5000 1
Ir1 0.0000 0.5000 0.2501 1
```

## Properties
Formation enthalpy at 0 K in eV per atom: -0.791
Uncorrected energy in eV per atom: -7.759
Crystal system: tetragonal
Total moment in μB per formula unit: 0.0


5.
The following is a PBE-GGA calculation of LaGdDy after structural relaxation, from OQMD.

The structure in CIF format:
```
data_LaGdDy
_chemical_formula_sum 'La4 Gd4 Dy4'
_cell_length_a 7.6914
_cell_length_b 7.6914
_cell_length_c 7.6914
_cell_angle_alpha 90.00
_cell_angle_beta 90.00
_cell_angle_gamma 90.00
_space_group_name_H-M_alt 'F -4 3 m'
_space_group_IT_number 216
_space_group_name_Hall 'F -4 2 3'
loop_
_atom_site_label
_atom_site_fract_x
_atom_site_fract_y
_atom_site_fract_z
_atom_site_occupancy
La1 0.0000 0.0000 0.0000 1
Gd1 0.2500 0.2500 0.2500 1
Dy1 0.2500 0.2500 0.7500 1
```

## Properties
Formation enthalpy at 0 K in eV per atom: 0.775
Uncorrected energy in eV per atom: -3.951
Crystal system: cubic
Total moment in μB per formula unit: 1.4


6.
The following is a PBE-GGA calculation of LiGdDyOs after structural relaxation, from OQMD.

The structure in CIF format:
```
data_LiGdDyOs
_chemical_formula_sum 'Li4 Gd4 Dy4 Os4'
_cell_length_a 6.9390
_cell_length_b 6.9390
_cell_length_c 6.9390
_cell_angle_alpha 90.00
_cell_angle_beta 90.00
_cell_angle_gamma 90.00
_space_group_name_H-M_alt 'F -4 3 m'
_space_group_IT_number 216
_space_group_name_Hall 'F -4 2 3'
loop_
_atom_site_label
_atom_site_fract_x
_atom_site_fract_y
_atom_site_fract_z
_atom_site_occupancy
Li1 0.0000 0.0000 0.0000 1
Gd1 0.2500 0.2500 0.2500 1
Dy1 0.2500 0.2500 0.7500 1
Os1 0.0000 0.0000 0.5000 1
```

## Properties
Uncorrected energy in eV per atom: -5.816
Crystal system: cubic
Total moment in μB per formula unit: 0.0


7.
The following is a PBE-GGA calculation of GdDyLu after structural relaxation, from OQMD.

The structure in CIF format:
```
data_GdDyLu
_chemical_formula_sum 'Gd4 Dy4 Lu4'
_cell_length_a 7.5820
_cell_length_b 7.5820
_cell_length_c 7.5820
_cell_angle_alpha 90.00
_cell_angle_beta 90.00
_cell_angle_gamma 90.00
_space_group_name_H-M_alt 'F -4 3 m'
_space_group_IT_number 216
_space_group_name_Hall 'F -4 2 3'
loop_
_atom_site_label
_atom_site_fract_x
_atom_site_fract_y
_atom_site_fract_z
_atom_site_occupancy
Gd1 0.0000 0.0000 0.0000 1
Dy1 0.0000 0.0000 0.5000 1
Lu1 0.2500 0.2500 0.7500 1
```

## Properties
Formation enthalpy at 0 K in eV per atom: 0.710
Uncorrected energy in eV per atom: -3.883
Crystal system: cubic
Total moment in μB per formula unit: 0.0


8.
The following is a PBE-GGA calculation of GdDyMg after structural relaxation, from OQMD.

The structure in CIF format:
```
data_GdDyMg
_chemical_formula_sum 'Gd4 Dy4 Mg4'
_cell_length_a 3.6727
_cell_length_b 17.2813
_cell_length_c 5.4983
_cell_angle_alpha 90.00
_cell_angle_beta 90.00
_cell_angle_gamma 90.00
_space_group_name_H-M_alt 'C m c m'
_space_group_IT_number 63
_space_group_name_Hall '-C 2c 2'
loop_
_atom_site_label
_atom_site_fract_x
_atom_site_fract_y
_atom_site_fract_z
_atom_site_occupancy
Gd1 0.0000 0.0935 0.2500 1
Dy1 0.0000 0.2262 0.7500 1
Mg1 0.0000 0.4349 0.2500 1
```

## Properties
Uncorrected energy in eV per atom: -3.664
Crystal system: orthorhombic
Total moment in μB per formula unit: 0.0